No. 1
VNi3 at its PBEsol-relaxed geometry. Source: Alexandria via LeMat-Bulk, functional meta-GGA SCAN.

The structure belongs to space group P4/mmm (No. 123); the cell edges are 2.464, 2.464 and 7.107 Å and the angles 90.00°, 90.00° and 90.00°. The inequivalent atoms are V at (0.000, 0.000, 0.000), Ni at (0.000, 0.000, 0.500) and Ni at (0.500, 0.500, 0.255).

The density of states at the Fermi level is 5.1 states/eV/f.u. The volume comes out at 10.79 Å³/atom. The formation energy is -82 meV per atom.


No. 2
HoSi2Pt2 at its PBEsol-relaxed geometry. Source: Alexandria via LeMat-Bulk, functional meta-GGA SCAN.

The structure belongs to space group P4/nmm (No. 129, origin choice 2); the cell edges are 4.126, 4.126 and 9.835 Å and the angles 90.00°, 90.00° and 90.00°. The inequivalent atoms are Ho at (0.250, 0.250, 0.247), Si at (0.250, 0.250, 0.635), Si at (0.250, 0.750, 0.000), Pt at (0.250, 0.250, 0.875) and Pt at (0.250, 0.750, 0.500).

The density of states at the Fermi level is 2.5 states/eV/f.u. The volume comes out at 16.74 Å³/atom. The uncorrected formation energy comes out at -1283.7 meV/atom.


No. 3
Cd2InAg at its PBEsol-relaxed geometry. Source: Alexandria via LeMat-Bulk, functional meta-GGA SCAN.

The structure belongs to space group C2/m (No. 12); the cell edges are 10.855, 3.057 and 4.967 Å and the angles 90.00°, 98.87° and 90.00°. The inequivalent atoms are Cd at (0.235, 0.000, 0.240), In at (0.000, 0.000, 0.500) and Ag at (0.000, 0.500, 0.000).

The density of states at the Fermi level is 1.3 states/eV/f.u. The volume comes out at 20.36 Å³/atom. The formation energy is 26 meV per atom.


No. 4
Cr2ReW at its PBEsol-relaxed geometry. Source: Alexandria via LeMat-Bulk, functional meta-GGA SCAN.

The structure belongs to space group F-43m (No. 216); the cell edges are 5.980, 5.980 and 5.980 Å and the angles 90.00°, 90.00° and 90.00°. The inequivalent atoms are Cr at (0.000, 0.000, 0.000), Cr at (0.250, 0.250, 0.250), Re at (0.000, 0.000, 0.500) and W at (0.250, 0.250, 0.750).

The density of states at the Fermi level is 2.3 states/eV/f.u. The volume comes out at 13.36 Å³/atom. The formation energy is -35 meV per atom.